No. 1
Here is crystalline ZnTeMo2 at its relaxed geometry from Alexandria. Energies are from GGA-PBE.

Results
E_form (uncorrected) = 0.435 eV/atom
Calculated total energy = -6.08 eV/atom
Total magnetization = 0.00 μB per formula unit
Crystal system = monoclinic
Offset from the most stable computed form = 89 kJ/mol of formula units

Lattice parameters (Å, degrees): 4.7371 3.2406 4.8289 90.00 110.06 90.00
With the nearest neighbours (Å) after each atom.
Element x y z (fractional)
Zn (0.0000, 0.0000, 0.0000)  6 Mo 2.74-2.91, 4 Te 2.87
Te (0.5000, 0.5000, 0.0000)  6 Mo 2.74-2.91, 4 Zn 2.87
Mo (0.0000, 0.5000, 0.5000)  2 Te 2.74, 4 Mo 2.87, 4 Zn 2.91
Mo (0.5000, 0.0000, 0.5000)  2 Zn 2.74, 4 Mo 2.87, 4 Te 2.91

No. 2
Here is crystalline Sc2Sn2Au at its relaxed geometry from Alexandria. Energies are from GGA-PBE.

Results
Calculated total energy = -5.32 eV/atom
Total magnetization = 0.00 μB per formula unit
Crystal system = tetragonal
Offset from the most stable computed form = 0 kJ/mol of formula units

Lattice parameters (Å, degrees): 7.2305 7.2305 4.3194 90.00 90.00 90.00
With the nearest neighbours (Å) after each atom.
Element x y z (fractional)
Sc (0.1662, 0.3338, 0.0000)  6 Sn 2.93-3.10
Sc (0.3338, 0.8338, 0.0000)  6 Sn 2.93-3.10
Sc (0.6662, 0.1662, 0.0000)  6 Sn 2.93-3.10
Sc (0.8338, 0.6662, 0.0000)  6 Sn 2.93-3.10
Sn (0.1403, 0.6403, 0.5000)  2 Au 2.79, 1 Sn 2.87, 6 Sc 2.93-3.10
Sn (0.3597, 0.1403, 0.5000)  2 Au 2.79, 1 Sn 2.87, 6 Sc 2.93-3.10
Sn (0.6403, 0.8597, 0.5000)  2 Au 2.79, 1 Sn 2.87, 6 Sc 2.93-3.10
Sn (0.8597, 0.3597, 0.5000)  2 Au 2.79, 1 Sn 2.87, 6 Sc 2.93-3.10
Au (0.0000, 0.0000, 0.5000)  4 Sn 2.79
Au (0.5000, 0.5000, 0.5000)  4 Sn 2.79

No. 3
Here is crystalline OF at its relaxed geometry from Alexandria. Energies are from GGA-PBE.

Results
E_form (uncorrected) = 0.411 eV/atom
Calculated total energy = -3.00 eV/atom
Total magnetization = 1.01 μB per formula unit
Crystal system = hexagonal
Offset from the most stable computed form = 107 kJ/mol of formula units

Lattice parameters (Å, degrees): 8.6283 8.6283 2.9650 90.00 90.00 120.00
With the nearest neighbours (Å) after each atom.
Element x y z (fractional)
O (0.0991, 0.5093, 0.2500)  1 F 1.38
O (0.4102, 0.9009, 0.2500)  1 F 1.38
O (0.4907, 0.5898, 0.2500)  1 F 1.38
O (0.5093, 0.4102, 0.7500)  1 F 1.38
O (0.5898, 0.0991, 0.7500)  1 F 1.38
O (0.9009, 0.4907, 0.7500)  1 F 1.38
F (0.0852, 0.3425, 0.2500)  1 O 1.38
F (0.2573, 0.9148, 0.2500)  1 O 1.38
F (0.3425, 0.2573, 0.7500)  1 O 1.38
F (0.6575, 0.7427, 0.2500)  1 O 1.38
F (0.7427, 0.0852, 0.7500)  1 O 1.38
F (0.9148, 0.6575, 0.7500)  1 O 1.38

No. 4
Here is crystalline BeOs2 at its relaxed geometry from Alexandria. Energies are from GGA-PBE.

Results
Calculated total energy = -8.53 eV/atom
Total magnetization = 0.00 μB per formula unit
Crystal system = orthorhombic

Lattice parameters (Å, degrees): 5.7781 5.7781 3.7698 90.00 90.00 141.93
With the nearest neighbours (Å) after each atom.
Element x y z (fractional)
Be (0.0880, 0.9120, 0.7500)  10 Os 2.51-2.67, 2 Be 2.69
Be (0.9120, 0.0880, 0.2500)  10 Os 2.51-2.67, 2 Be 2.69
Os (0.2403, 0.7597, 0.2500)  4 Be 2.51-2.66, 8 Os 2.62-2.77
Os (0.4267, 0.5733, 0.7500)  4 Os 2.47-2.62, 6 Be 2.58-2.67
Os (0.5733, 0.4267, 0.2500)  4 Os 2.47-2.62, 6 Be 2.58-2.67
Os (0.7597, 0.2403, 0.7500)  4 Be 2.51-2.66, 8 Os 2.62-2.77

No. 5
Here is crystalline ScCdCu2 at its relaxed geometry from Alexandria. Energies are from GGA-PBE.

Results
Calculated total energy = -3.77 eV/atom
Total magnetization = 0.00 μB per formula unit
Crystal system = trigonal

Lattice parameters (Å, degrees): 8.8651 8.8651 8.8651 19.96 19.96 19.96
With the nearest neighbours (Å) after each atom.
Element x y z (fractional)
Sc (0.0000, 0.0000, 0.0000)  6 Cu 2.76, 6 Sc 3.07
Cd (0.5000, 0.5000, 0.5000)  6 Cu 2.85, 6 Cd 3.07
Cu (0.2522, 0.2522, 0.2522)  3 Sc 2.76, 3 Cd 2.85, 6 Cu 3.07
Cu (0.7478, 0.7478, 0.7478)  3 Sc 2.76, 3 Cd 2.85, 6 Cu 3.07

No. 6
Here is crystalline UPd3Pt at its relaxed geometry from Alexandria. Energies are from GGA-PBE.

Results
Calculated total energy = -6.70 eV/atom
Total magnetization = 1.58 μB per formula unit
Crystal system = orthorhombic
Offset from the most stable computed form = 0 kJ/mol of formula units

Lattice parameters (Å, degrees): 6.6883 6.6883 6.6883 135.10 110.26 86.87
With the nearest neighbours (Å) after each atom.
Element x y z (fractional)
U (0.2523, 0.0023, 0.2500)  4 Pd 2.54-2.72
U (0.7477, 0.9977, 0.7500)  4 Pd 2.54-2.72
Pd (0.1506, 0.2134, 0.9373)  1 U 2.54, 4 Pd 2.65-2.73, 1 Pt 2.83
Pd (0.2239, 0.7866, 0.4373)  1 U 2.54, 4 Pd 2.65-2.73, 1 Pt 2.83
Pd (0.5000, 0.0000, 0.0000)  6 Pd 2.55-2.73, 2 U 2.72
Pd (0.5000, 0.5000, 0.5000)  6 Pd 2.55-2.73, 2 U 2.72
Pd (0.7761, 0.2134, 0.5627)  1 U 2.54, 4 Pd 2.65-2.73, 1 Pt 2.83
Pd (0.8494, 0.7866, 0.0627)  1 U 2.54, 4 Pd 2.65-2.73, 1 Pt 2.83
Pt (0.0000, 0.5000, 0.5000)  2 Pd 2.83
Pt (0.5000, 0.5000, 0.0000)  2 Pd 2.83

No. 7
Here is crystalline Li3CuGe3 at its relaxed geometry from Alexandria. Energies are from GGA-PBE.

Results
Calculated total energy = -3.50 eV/atom
Total magnetization = 0.00 μB per formula unit
Crystal system = monoclinic

Lattice parameters (Å, degrees): 6.5804 6.5804 6.3996 94.55 94.55 113.68
With the nearest neighbours (Å) after each atom.
Element x y z (fractional)
Li (0.1109, 0.8891, 0.0000)  1 Li 2.44, 4 Ge 2.53-2.69, 2 Cu 2.70
Li (0.2359, 0.7641, 0.5000)  6 Ge 2.87-3.15
Li (0.4049, 0.4049, 0.1640)  5 Ge 2.56-2.87, 1 Li 2.67, 2 Cu 2.71-2.82
Li (0.5951, 0.5951, 0.8360)  5 Ge 2.56-2.87, 1 Li 2.67, 2 Cu 2.71-2.82
Li (0.7641, 0.2359, 0.5000)  6 Ge 2.87-3.15
Li (0.8891, 0.1109, 0.0000)  1 Li 2.44, 4 Ge 2.53-2.69, 2 Cu 2.70
Cu (0.2162, 0.2162, 0.7459)  4 Ge 2.40-2.45
Cu (0.7838, 0.7838, 0.2541)  4 Ge 2.40-2.45
Ge (0.1237, 0.1237, 0.3679)  2 Cu 2.41-2.45, 3 Li 2.56-2.69, 1 Ge 2.63
Ge (0.1425, 0.5324, 0.8662)  1 Cu 2.40, 1 Li 2.53, 1 Ge 2.57
Ge (0.4676, 0.8575, 0.1338)  1 Cu 2.40, 1 Li 2.53, 1 Ge 2.57
Ge (0.5324, 0.1425, 0.8662)  1 Cu 2.40, 1 Li 2.53, 1 Ge 2.57
Ge (0.8575, 0.4676, 0.1338)  1 Cu 2.40, 1 Li 2.53, 1 Ge 2.57
Ge (0.8763, 0.8763, 0.6321)  2 Cu 2.41-2.45, 3 Li 2.56-2.69, 1 Ge 2.63

No. 8
Here is crystalline Mg2OsAu at its relaxed geometry from Alexandria. Energies are from GGA-PBE.

Results
Calculated total energy = -4.23 eV/atom
Total magnetization = 0.00 μB per formula unit
Crystal system = tetragonal

Lattice parameters (Å, degrees): 3.3759 3.3759 5.9692 90.00 90.00 90.00
With the nearest neighbours (Å) after each atom.
Element x y z (fractional)
Mg (0.0000, 0.0000, 0.0000)  4 Au 2.76, 4 Mg 2.95, 2 Os 2.98-2.99
Mg (0.5000, 0.5000, 0.2908)  4 Os 2.70, 1 Au 2.85, 4 Mg 2.95
Os (0.0000, 0.0000, 0.5008)  6 Mg 2.70-2.99, 4 Au 2.87
Au (0.5000, 0.5000, 0.7691)  5 Mg 2.76-2.85, 4 Os 2.87

No. 9
Here is crystalline PmSm8Pb2 at its relaxed geometry from Alexandria. Energies are from GGA-PBE.

Results
Calculated total energy = -4.63 eV/atom
Total magnetization = 0.00 μB per formula unit
Crystal system = monoclinic

Lattice parameters (Å, degrees): 9.0074 9.0074 6.4511 94.65 94.65 44.73
With the nearest neighbours (Å) after each atom.
Element x y z (fractional)
Pm (0.0000, 0.0000, 0.0000)  10 Sm 3.42-3.78
Sm (0.1580, 0.6481, 0.5975)  2 Pb 3.23-3.33, 3 Sm 3.36-3.57, 1 Pm 3.42
Sm (0.2107, 0.2107, 0.8334)  2 Pb 3.23-3.38
Sm (0.3519, 0.8420, 0.4025)  2 Pb 3.23-3.33, 3 Sm 3.36-3.57, 1 Pm 3.42
Sm (0.4166, 0.4166, 0.1045)  1 Pb 3.17, 1 Sm 3.19
Sm (0.5834, 0.5834, 0.8955)  1 Pb 3.17, 1 Sm 3.19
Sm (0.6481, 0.1580, 0.5975)  2 Pb 3.23-3.33, 3 Sm 3.36-3.57, 1 Pm 3.42
Sm (0.7893, 0.7893, 0.1666)  2 Pb 3.23-3.38
Sm (0.8420, 0.3519, 0.4025)  2 Pb 3.23-3.33, 3 Sm 3.36-3.57, 1 Pm 3.42
Pb (0.2555, 0.2555, 0.3316)  7 Sm 3.17-3.38
Pb (0.7445, 0.7445, 0.6684)  7 Sm 3.17-3.38

No. 10
Here is crystalline Ce2EuIn at its relaxed geometry from Alexandria. Energies are from GGA-PBE.

Results
Calculated total energy = -6.35 eV/atom
Total magnetization = 9.74 μB per formula unit
Crystal system = tetragonal
Offset from the most stable computed form = 0 kJ/mol of formula units

Lattice parameters (Å, degrees): 4.8869 4.8869 4.9684 90.00 90.00 90.00
With the nearest neighbours (Å) after each atom.
Element x y z (fractional)
Ce (0.0000, 0.5000, 0.0000)  4 Ce 3.46, 4 In 3.48, 4 Eu 3.48
Ce (0.5000, 0.0000, 0.0000)  4 Ce 3.46, 4 In 3.48, 4 Eu 3.48
Eu (0.0000, 0.0000, 0.5000)  4 In 3.46, 8 Ce 3.48
In (0.5000, 0.5000, 0.5000)  4 Eu 3.46, 8 Ce 3.48

No. 11
Here is crystalline LaZrPb at its relaxed geometry from Alexandria. Energies are from GGA-PBE.

Results
Calculated total energy = -5.65 eV/atom
Total magnetization = 0.00 μB per formula unit
Crystal system = cubic
Offset from the most stable computed form = 132 kJ/mol of formula units

Lattice parameters (Å, degrees): 5.1650 5.1650 5.1650 60.00 60.00 60.00
With the nearest neighbours (Å) after each atom.
Element x y z (fractional)
La (0.0000, 0.0000, 0.0000)  4 Pb 3.16
Zr (0.5000, 0.5000, 0.5000)  4 Pb 3.16
Pb (0.2500, 0.2500, 0.2500)  4 Zr 3.16, 4 La 3.16

No. 12
Here is crystalline NaIn2Ga2 at its relaxed geometry from Alexandria. Energies are from GGA-PBE.

Results
Calculated total energy = -2.60 eV/atom
Total magnetization = 0.00 μB per formula unit
Crystal system = tetragonal
Offset from the most stable computed form = 25 kJ/mol of formula units

Lattice parameters (Å, degrees): 8.1857 8.1857 3.6256 90.00 90.00 90.00
With the nearest neighbours (Å) after each atom.
Element x y z (fractional)
Na (0.0000, 0.0000, 0.0000)  4 Ga 3.24, 8 In 3.53, 2 Na 3.63
Na (0.5000, 0.5000, 0.0000)  4 Ga 3.24, 8 In 3.53, 2 Na 3.63
In (0.1720, 0.3280, 0.5000)  6 Ga 2.98-3.05
In (0.3280, 0.8280, 0.5000)  6 Ga 2.98-3.05
In (0.6720, 0.1720, 0.5000)  6 Ga 2.98-3.05
In (0.8280, 0.6720, 0.5000)  6 Ga 2.98-3.05
Ga (0.1239, 0.6239, 0.0000)  1 Ga 2.87, 6 In 2.98-3.05
Ga (0.3761, 0.1239, 0.0000)  1 Ga 2.87, 6 In 2.98-3.05
Ga (0.6239, 0.8761, 0.0000)  1 Ga 2.87, 6 In 2.98-3.05
Ga (0.8761, 0.3761, 0.0000)  1 Ga 2.87, 6 In 2.98-3.05

Q: The highest total magnetization belongs to which entry?
A: Ce2EuIn